## Ba4Ac3HoTe8 (PBE)

Data for a relaxed Ba4Ac3HoTe8 crystal.

Results
Mass density ... 6.40 g/cm3
M_tot ... 0.00 μB/f.u.
Formation energy (no corrections) ... -2455 kJ/mol of formula units
Fermi-level density of states ... 6.7 states/eV/f.u.
VASP energy ... -4.6980 eV per atom

a = 9.676 Å, b = 9.676 Å, c = 9.676 Å
α = 59.05°, β = 59.05°, γ = 59.05°
Element x y z (fractional)
Ba1 0.000 0.000 0.000
Ba2 0.000 0.500 0.500
Ba3 0.500 0.000 0.500
Ba4 0.500 0.500 0.000
Ac1 0.000 0.000 0.500
Ac2 0.000 0.500 0.000
Ac3 0.500 0.000 0.000
Ho1 0.500 0.500 0.500
Te1 0.246 0.246 0.246
Te2 0.257 0.735 0.735
Te3 0.265 0.265 0.743
Te4 0.265 0.743 0.265
Te5 0.735 0.257 0.735
Te6 0.735 0.735 0.257
Te7 0.743 0.265 0.265
Te8 0.754 0.754 0.754